Entry 1:
MnV2Ru | PBE | relaxed

Results
Crystal system: tetragonal
E, eV per cell: -140.26

```
data_MnV2Ru
_cell_length_a 6.604
_cell_length_b 6.604
_cell_length_c 5.180
_cell_angle_alpha 90.00
_cell_angle_beta 90.00
_cell_angle_gamma 90.00
_symmetry_space_group_name_H-M 'I -4 2 d'
_symmetry_Int_Tables_number 122
_symmetry_space_group_name_Hall 'I -4 2bw'
loop_
_atom_site_label
_atom_site_type_symbol
_atom_site_fract_x
_atom_site_fract_y
_atom_site_fract_z
Mn1 Mn 0.000 0.000 0.000
V1 V 0.249 0.750 0.125
Ru1 Ru 0.000 0.000 0.500
```

---

Entry 2:
LiY2V | PBE | relaxed

Results
Energy above the lowest structure with this stoichiometry, eV per atom: 0.026
Crystal system: cubic
E, eV per cell: -92.05

```
data_LiY2V
_cell_length_a 7.268
_cell_length_b 7.268
_cell_length_c 7.268
_cell_angle_alpha 90.00
_cell_angle_beta 90.00
_cell_angle_gamma 90.00
_symmetry_space_group_name_H-M 'F m -3 m'
_symmetry_Int_Tables_number 225
_symmetry_space_group_name_Hall '-F 4 2 3'
loop_
_atom_site_label
_atom_site_type_symbol
_atom_site_fract_x
_atom_site_fract_y
_atom_site_fract_z
Li1 Li 0.000 0.000 0.000
Y1 Y 0.250 0.250 0.250
V1 V 0.000 0.000 0.500
```

---

Entry 3:
TePBr | PBE | relaxed

Results
Formation energy (no corrections), eV/atom: 0.513
Crystal system: cubic
E, eV per cell: -34.74

```
data_TePBr
_cell_length_a 6.860
_cell_length_b 6.860
_cell_length_c 6.860
_cell_angle_alpha 90.00
_cell_angle_beta 90.00
_cell_angle_gamma 90.00
_symmetry_space_group_name_H-M 'F -4 3 m'
_symmetry_Int_Tables_number 216
_symmetry_space_group_name_Hall 'F -4 2 3'
loop_
_atom_site_label
_atom_site_type_symbol
_atom_site_fract_x
_atom_site_fract_y
_atom_site_fract_z
Te1 Te 0.000 0.000 0.000
P1 P 0.250 0.250 0.250
Br1 Br 0.000 0.000 0.500
```

---

Entry 4:
Eu2CuBr | PBE | relaxed

Results
Energy above the lowest structure with this stoichiometry, eV per atom: 0.000
Formation energy (no corrections), eV/atom: -0.750
Crystal system: trigonal
E, eV per cell: -87.95

```
data_Eu2CuBr
_cell_length_a 4.2239
_cell_length_b 4.2239
_cell_length_c 23.6781
_cell_angle_alpha 90.00
_cell_angle_beta 90.00
_cell_angle_gamma 120.00
_symmetry_space_group_name_H-M 'R -3 m'
_symmetry_Int_Tables_number 166
_symmetry_space_group_name_Hall '-R 3 2"'
loop_
_atom_site_label
_atom_site_type_symbol
_atom_site_fract_x
_atom_site_fract_y
_atom_site_fract_z
Eu1 Eu 0.0000 0.0000 0.2386
Cu1 Cu 0.0000 0.0000 0.5000
Br1 Br 0.0000 0.0000 0.0000
```

---

Question: Which of these has the highest E?
Answer: TePBr